Computed, not measured: a relaxed Mg2CoAg crystal at the PBE level of DFT.

Summary:
Formation energy from the elements (eV per atom): 0.08

Structure (CIF):
```
data_Mg2CoAg
_cell_length_a 3.097
_cell_length_b 4.525
_cell_length_c 9.523
_cell_angle_alpha 90.00
_cell_angle_beta 90.00
_cell_angle_gamma 90.00
_symmetry_space_group_name_H-M 'I m m 2'
_symmetry_Int_Tables_number 44
_symmetry_space_group_name_Hall 'I 2 -2'
loop_
_atom_site_label
_atom_site_fract_x
_atom_site_fract_y
_atom_site_fract_z
_atom_site_occupancy
Mg1 0.000 0.000 0.000 1
Mg2 0.000 0.500 0.219 1
Co1 0.000 0.000 0.490 1
Ag1 0.000 0.500 0.760 1
```

---

Computed, not measured: a relaxed MgCoAg3 crystal at the PBE level of DFT.

Summary:
Formation energy from the elements (eV per atom): 0.71
ΔE to the lowest computed polymorph (meV/atom): 0

Structure (CIF):
```
data_MgCoAg3
_cell_length_a 4.803
_cell_length_b 4.803
_cell_length_c 4.803
_cell_angle_alpha 90.00
_cell_angle_beta 90.00
_cell_angle_gamma 90.00
_symmetry_space_group_name_H-M 'P m -3 m'
_symmetry_Int_Tables_number 221
_symmetry_space_group_name_Hall '-P 4 2 3'
loop_
_atom_site_label
_atom_site_fract_x
_atom_site_fract_y
_atom_site_fract_z
_atom_site_occupancy
Mg1 0.000 0.000 0.000 1
Co1 0.500 0.500 0.500 1
Ag1 0.000 0.500 0.500 1
```

---

Computed, not measured: a relaxed Mg2CoAg crystal at the PBE level of DFT.

Summary:
Formation energy from the elements (eV per atom): 0.10

Structure (CIF):
```
data_Mg2CoAg
_cell_length_a 2.9451
_cell_length_b 2.9451
_cell_length_c 26.7586
_cell_angle_alpha 90.00
_cell_angle_beta 90.00
_cell_angle_gamma 120.00
_symmetry_space_group_name_H-M 'R -3 m'
_symmetry_Int_Tables_number 166
_symmetry_space_group_name_Hall '-R 3 2"'
loop_
_atom_site_label
_atom_site_fract_x
_atom_site_fract_y
_atom_site_fract_z
_atom_site_occupancy
Mg1 0.0000 0.0000 0.2432 1
Co1 0.0000 0.0000 0.5000 1
Ag1 0.0000 0.0000 0.0000 1
```

---

Computed, not measured: a relaxed Mg2CoAg crystal at the PBE level of DFT.

Summary:
Formation energy from the elements (eV per atom): 0.15

Structure (CIF):
```
data_Mg2CoAg
_cell_length_a 6.397
_cell_length_b 6.397
_cell_length_c 6.397
_cell_angle_alpha 90.00
_cell_angle_beta 90.00
_cell_angle_gamma 90.00
_symmetry_space_group_name_H-M 'F -4 3 m'
_symmetry_Int_Tables_number 216
_symmetry_space_group_name_Hall 'F -4 2 3'
loop_
_atom_site_label
_atom_site_fract_x
_atom_site_fract_y
_atom_site_fract_z
_atom_site_occupancy
Mg1 0.000 0.000 0.000 1
Mg2 0.250 0.250 0.250 1
Co1 0.000 0.000 0.500 1
Ag1 0.250 0.250 0.750 1
```

---

Computed, not measured: a relaxed MgCoAg4 crystal at the PBE level of DFT.

Summary:
Formation energy from the elements (eV per atom): 0.35

Structure (CIF):
```
data_MgCoAg4
_cell_length_a 7.659
_cell_length_b 7.659
_cell_length_c 7.659
_cell_angle_alpha 90.00
_cell_angle_beta 90.00
_cell_angle_gamma 90.00
_symmetry_space_group_name_H-M 'F -4 3 m'
_symmetry_Int_Tables_number 216
_symmetry_space_group_name_Hall 'F -4 2 3'
loop_
_atom_site_label
_atom_site_fract_x
_atom_site_fract_y
_atom_site_fract_z
_atom_site_occupancy
Mg1 0.000 0.000 0.000 1
Co1 0.250 0.250 0.750 1
Ag1 0.125 0.125 0.375 1
```

---

Computed, not measured: a relaxed Mg2CoAg crystal at the PBE level of DFT.

Summary:
Formation energy from the elements (eV per atom): 0.35

Structure (CIF):
```
data_Mg2CoAg
_cell_length_a 7.113
_cell_length_b 7.113
_cell_length_c 5.641
_cell_angle_alpha 90.00
_cell_angle_beta 90.00
_cell_angle_gamma 90.00
_symmetry_space_group_name_H-M 'I -4 2 d'
_symmetry_Int_Tables_number 122
_symmetry_space_group_name_Hall 'I -4 2bw'
loop_
_atom_site_label
_atom_site_fract_x
_atom_site_fract_y
_atom_site_fract_z
_atom_site_occupancy
Mg1 0.234 0.250 0.125 1
Co1 0.000 0.000 0.000 1
Ag1 0.000 0.000 0.500 1
```

---

Computed, not measured: a relaxed Mg2CoAg crystal at the PBE level of DFT.

Summary:
Formation energy from the elements (eV per atom): 0.15

Structure (CIF):
```
data_Mg2CoAg
_cell_length_a 3.240
_cell_length_b 3.240
_cell_length_c 6.517
_cell_angle_alpha 90.00
_cell_angle_beta 90.00
_cell_angle_gamma 90.00
_symmetry_space_group_name_H-M 'P 4 m m'
_symmetry_Int_Tables_number 99
_symmetry_space_group_name_Hall 'P 4 -2'
loop_
_atom_site_label
_atom_site_fract_x
_atom_site_fract_y
_atom_site_fract_z
_atom_site_occupancy
Mg1 0.000 0.000 0.000 1
Mg2 0.500 0.500 0.320 1
Co1 0.500 0.500 0.795 1
Ag1 0.000 0.000 0.566 1
```

---

Computed, not measured: a relaxed MgCo3Ag crystal at the PBE level of DFT.

Summary:
Formation energy from the elements (eV per atom): 1.46

Structure (CIF):
```
data_MgCo3Ag
_cell_length_a 4.368
_cell_length_b 4.368
_cell_length_c 4.368
_cell_angle_alpha 90.00
_cell_angle_beta 90.00
_cell_angle_gamma 90.00
_symmetry_space_group_name_H-M 'P m -3 m'
_symmetry_Int_Tables_number 221
_symmetry_space_group_name_Hall '-P 4 2 3'
loop_
_atom_site_label
_atom_site_fract_x
_atom_site_fract_y
_atom_site_fract_z
_atom_site_occupancy
Mg1 0.000 0.000 0.000 1
Co1 0.000 0.000 0.500 1
Ag1 0.500 0.500 0.500 1
```

---

Computed, not measured: a relaxed Mg2CoAg crystal at the PBE level of DFT.

Summary:
Formation energy from the elements (eV per atom): 0.07

Structure (CIF):
```
data_Mg2CoAg
_cell_length_a 10.046
_cell_length_b 2.922
_cell_length_c 4.771
_cell_angle_alpha 90.00
_cell_angle_beta 107.36
_cell_angle_gamma 90.00
_symmetry_space_group_name_H-M 'C 1 m 1'
_symmetry_Int_Tables_number 8
_symmetry_space_group_name_Hall 'C -2y'
loop_
_atom_site_label
_atom_site_fract_x
_atom_site_fract_y
_atom_site_fract_z
_atom_site_occupancy
Mg1 0.000 0.000 0.000 1
Mg2 0.215 0.000 0.636 1
Co1 0.238 0.500 0.136 1
Ag1 0.458 0.000 0.468 1
```

---

Computed, not measured: a relaxed Mg2CoAg crystal at the PBE level of DFT.

Summary:
Formation energy from the elements (eV per atom): 0.10

Structure (CIF):
```
data_Mg2CoAg
_cell_length_a 3.921
_cell_length_b 3.921
_cell_length_c 8.582
_cell_angle_alpha 90.00
_cell_angle_beta 90.00
_cell_angle_gamma 90.00
_symmetry_space_group_name_H-M 'I -4 m 2'
_symmetry_Int_Tables_number 119
_symmetry_space_group_name_Hall 'I -4 -2'
loop_
_atom_site_label
_atom_site_fract_x
_atom_site_fract_y
_atom_site_fract_z
_atom_site_occupancy
Mg1 0.000 0.000 0.000 1
Mg2 0.000 0.500 0.250 1
Co1 0.000 0.000 0.500 1
Ag1 0.000 0.500 0.750 1
```

---

Computed, not measured: a relaxed Mg8CoAg2 crystal at the PBE level of DFT.

Summary:
Formation energy from the elements (eV per atom): -0.04

Structure (CIF):
```
data_Mg8CoAg2
_cell_length_a 4.591
_cell_length_b 7.631
_cell_length_c 12.239
_cell_angle_alpha 90.00
_cell_angle_beta 90.00
_cell_angle_gamma 90.00
_symmetry_space_group_name_H-M 'I m m m'
_symmetry_Int_Tables_number 71
_symmetry_space_group_name_Hall '-I 2 2'
loop_
_atom_site_label
_atom_site_fract_x
_atom_site_fract_y
_atom_site_fract_z
_atom_site_occupancy
Mg1 0.000 0.000 0.136 1
Mg2 0.000 0.222 0.351 1
Mg3 0.000 0.308 0.000 1
Co1 0.000 0.500 0.500 1
Ag1 0.000 0.500 0.201 1
```

---

Computed, not measured: a relaxed MgCo3Ag crystal at the PBE level of DFT.

Summary:
Formation energy from the elements (eV per atom): 1.46

Structure (CIF):
```
data_MgCo3Ag
_cell_length_a 4.658
_cell_length_b 4.658
_cell_length_c 4.658
_cell_angle_alpha 90.00
_cell_angle_beta 90.00
_cell_angle_gamma 90.00
_symmetry_space_group_name_H-M 'P m -3 m'
_symmetry_Int_Tables_number 221
_symmetry_space_group_name_Hall '-P 4 2 3'
loop_
_atom_site_label
_atom_site_fract_x
_atom_site_fract_y
_atom_site_fract_z
_atom_site_occupancy
Mg1 0.000 0.000 0.000 1
Co1 0.000 0.500 0.500 1
Ag1 0.500 0.500 0.500 1
```

---

Computed, not measured: a relaxed Mg2CoAg crystal at the PBE level of DFT.

Summary:
Formation energy from the elements (eV per atom): 0.03

Structure (CIF):
```
data_Mg2CoAg
_cell_length_a 4.405
_cell_length_b 4.405
_cell_length_c 3.343
_cell_angle_alpha 90.00
_cell_angle_beta 90.00
_cell_angle_gamma 90.00
_symmetry_space_group_name_H-M 'P 4/m m m'
_symmetry_Int_Tables_number 123
_symmetry_space_group_name_Hall '-P 4 2'
loop_
_atom_site_label
_atom_site_fract_x
_atom_site_fract_y
_atom_site_fract_z
_atom_site_occupancy
Mg1 0.000 0.500 0.000 1
Co1 0.000 0.000 0.500 1
Ag1 0.500 0.500 0.500 1
```

---

Computed, not measured: a relaxed Mg2CoAg crystal at the PBE level of DFT.

Summary:
Formation energy from the elements (eV per atom): 0.14

Structure (CIF):
```
data_Mg2CoAg
_cell_length_a 8.945
_cell_length_b 2.910
_cell_length_c 5.222
_cell_angle_alpha 90.00
_cell_angle_beta 100.11
_cell_angle_gamma 90.00
_symmetry_space_group_name_H-M 'C 1 2/m 1'
_symmetry_Int_Tables_number 12
_symmetry_space_group_name_Hall '-C 2y'
loop_
_atom_site_label
_atom_site_fract_x
_atom_site_fract_y
_atom_site_fract_z
_atom_site_occupancy
Mg1 0.244 0.000 0.236 1
Co1 0.000 0.500 0.000 1
Ag1 0.000 0.000 0.500 1
```

---

Computed, not measured: a relaxed NdMgCoAg crystal at the PBE level of DFT.

Summary:
Formation energy from the elements (eV per atom): 0.01

Structure (CIF):
```
data_NdMgCoAg
_cell_length_a 6.898
_cell_length_b 6.898
_cell_length_c 6.898
_cell_angle_alpha 90.00
_cell_angle_beta 90.00
_cell_angle_gamma 90.00
_symmetry_space_group_name_H-M 'F -4 3 m'
_symmetry_Int_Tables_number 216
_symmetry_space_group_name_Hall 'F -4 2 3'
loop_
_atom_site_label
_atom_site_fract_x
_atom_site_fract_y
_atom_site_fract_z
_atom_site_occupancy
Nd1 0.000 0.000 0.000 1
Mg1 0.000 0.000 0.500 1
Co1 0.250 0.250 0.750 1
Ag1 0.250 0.250 0.250 1
```